Record 1
Below is a crystal of BaDy2S4 relaxed with PBEsol, with properties calculated at the meta-GGA SCAN level.

Values from the calculation:
Its space-group type is Pnma (62). The total magnetic moment comes out at 0.00 μB/f.u. The calculation puts the formation energy (no corrections) at -17.04 eV/f.u.

Cell lengths 12.090, 4.004, 14.375 Å; angles 90.00, 90.00, 90.00 degrees
Fractional coordinates of all 28 atoms:
Ba 0.243 0.250 0.162
Ba 0.257 0.750 0.662
Ba 0.743 0.250 0.338
Ba 0.757 0.750 0.838
Dy 0.070 0.250 0.393
Dy 0.077 0.250 0.898
Dy 0.423 0.750 0.398
Dy 0.430 0.750 0.893
Dy 0.570 0.250 0.107
Dy 0.577 0.250 0.602
Dy 0.923 0.750 0.102
Dy 0.930 0.750 0.607
S 0.021 0.750 0.782
S 0.080 0.250 0.579
S 0.126 0.750 0.022
S 0.209 0.750 0.335
S 0.291 0.250 0.835
S 0.374 0.250 0.522
S 0.420 0.750 0.079
S 0.479 0.250 0.282
S 0.521 0.750 0.718
S 0.580 0.250 0.921
S 0.626 0.750 0.478
S 0.709 0.750 0.165
S 0.791 0.250 0.665
S 0.874 0.250 0.978
S 0.920 0.750 0.421
S 0.979 0.250 0.218


Record 2
Below is a crystal of Tc2OsW relaxed with PBEsol, with properties calculated at the meta-GGA SCAN level.

Values from the calculation:
Its space-group type is Imm2 (44). The total magnetic moment comes out at 0.00 μB/f.u. The calculation puts the formation energy at 178 meV per atom.

Cell lengths 5.137, 5.137, 5.137 Å; angles 145.34, 129.67, 62.56 degrees
Fractional coordinates of all 4 atoms:
Tc 0.000 0.000 0.000
Tc 0.737 0.237 0.500
Os 0.465 0.465 0.000
W 0.229 0.729 0.500


Record 3
Below is a crystal of TaTcRh2 relaxed with PBEsol, with properties calculated at the meta-GGA SCAN level.

Values from the calculation:
Its space-group type is R3m (160). The total magnetic moment comes out at 0.00 μB/f.u. The calculation puts the formation energy at -79 meV per atom.

Cell lengths 9.155, 9.155, 9.155 Å; angles 17.22, 17.22, 17.22 degrees
Fractional coordinates of all 4 atoms:
Ta 0.000 0.000 0.000
Tc 0.757 0.757 0.757
Rh 0.252 0.252 0.252
Rh 0.501 0.501 0.501


Number 1: DOS at the Fermi energy 0.000 states/eV per atom, VASP energy -762.8 eV/cell. Number 2: DOS at the Fermi energy 0.691 states/eV per atom, VASP energy -211.0 eV/cell. Number 3: DOS at the Fermi energy 0.868 states/eV per atom, VASP energy -169.5 eV/cell.